Computed, not measured: a geometry-optimized Ca2FeMo structure at the GGA-PBE level of DFT.

E above lowest polymorph   2.20 eV per formula unit
N(E_F)   4.85 states/eV/cell
Energy of formation   0.8844 eV/atom

Unit cell a=5.699 b=5.699 c=2.876 alpha=90.00 beta=90.00 gamma=116.48
Positions (direct):
Ca  0.000  0.500  0.000
Ca  0.500  0.000  0.000
Fe  0.000  0.000  0.500
Mo  0.500  0.500  0.500

Computed, not measured: a geometry-optimized CaFe2Mo structure at the GGA-PBE level of DFT.

N(E_F)   4.50 states/eV/cell
Energy of formation   0.4845 eV/atom

Unit cell a=3.178 b=3.178 c=6.910 alpha=90.00 beta=90.00 gamma=90.00
Positions (direct):
Ca  0.000  0.000  0.000
Fe  0.000  0.000  0.477
Fe  0.500  0.500  0.316
Mo  0.500  0.500  0.657

Computed, not measured: a geometry-optimized Ca2FeMo structure at the GGA-PBE level of DFT.

E above lowest polymorph   0.64 eV per formula unit
N(E_F)   4.47 states/eV/cell
Energy of formation   0.4963 eV/atom

Unit cell a=5.924 b=5.924 c=5.924 alpha=145.67 beta=127.58 gamma=64.17
Positions (direct):
Ca  0.000  0.000  0.000
Ca  0.708  0.208  0.500
Fe  0.443  0.443  0.000
Mo  0.303  0.803  0.500

Computed, not measured: a geometry-optimized CaFe2Mo structure at the GGA-PBE level of DFT.

N(E_F)   2.75 states/eV/cell
Energy of formation   0.6841 eV/atom

Unit cell a=4.452 b=4.452 c=2.991 alpha=90.00 beta=90.00 gamma=90.00
Positions (direct):
Ca  0.000  0.000  0.000
Fe  0.000  0.500  0.500
Fe  0.500  0.000  0.500
Mo  0.500  0.500  0.000

Computed, not measured: a geometry-optimized CaFe2Mo2 structure at the GGA-PBE level of DFT.

E above lowest polymorph   0.03 eV per formula unit
N(E_F)   7.90 states/eV/cell
Energy of formation   0.4044 eV/atom

Unit cell a=7.542 b=7.542 c=2.753 alpha=90.00 beta=90.00 gamma=90.00
Positions (direct):
Ca  0.000  0.000  0.000
Ca  0.500  0.500  0.000
Fe  0.135  0.365  0.000
Fe  0.365  0.865  0.000
Fe  0.635  0.135  0.000
Fe  0.865  0.635  0.000
Mo  0.148  0.648  0.500
Mo  0.352  0.148  0.500
Mo  0.648  0.852  0.500
Mo  0.852  0.352  0.500

Computed, not measured: a geometry-optimized CaFe2Mo structure at the GGA-PBE level of DFT.

N(E_F)   3.63 states/eV/cell
Energy of formation   0.6843 eV/atom

Unit cell a=8.466 b=8.466 c=8.466 alpha=20.83 beta=20.83 gamma=20.83
Positions (direct):
Ca  0.000  0.000  0.000
Fe  0.236  0.236  0.236
Fe  0.764  0.764  0.764
Mo  0.500  0.500  0.500

Computed, not measured: a geometry-optimized CaFeMo structure at the GGA-PBE level of DFT.

E above lowest polymorph   0.74 eV per formula unit
N(E_F)   2.29 states/eV/cell
Energy of formation   0.7036 eV/atom

Unit cell a=3.442 b=3.442 c=6.232 alpha=90.00 beta=90.00 gamma=120.00
Positions (direct):
Ca  0.000  0.000  0.000
Fe  0.667  0.333  0.365
Mo  0.333  0.667  0.542

Computed, not measured: a geometry-optimized Ca2FeMo structure at the GGA-PBE level of DFT.

E above lowest polymorph   2.28 eV per formula unit
N(E_F)   9.72 states/eV/cell
Energy of formation   0.9040 eV/atom

Unit cell a=7.873 b=7.873 c=7.873 alpha=94.32 beta=94.32 gamma=148.13
Positions (direct):
Ca  0.375  0.046  0.171
Ca  0.796  0.625  0.671
Ca  0.875  0.204  0.829
Ca  0.954  0.125  0.329
Fe  0.000  0.000  0.000
Fe  0.750  0.250  0.500
Mo  0.250  0.750  0.500
Mo  0.500  0.500  0.000

Computed, not measured: a geometry-optimized CaFeMo4 structure at the GGA-PBE level of DFT.

N(E_F)   4.70 states/eV/cell
Energy of formation   0.5786 eV/atom

Unit cell a=5.341 b=5.341 c=5.341 alpha=60.00 beta=60.00 gamma=60.00
Positions (direct):
Ca  0.000  0.000  0.000
Fe  0.750  0.750  0.750
Mo  0.375  0.375  0.375
Mo  0.375  0.375  0.875
Mo  0.375  0.875  0.375
Mo  0.875  0.375  0.375

Computed, not measured: a geometry-optimized Ca2FeMo structure at the GGA-PBE level of DFT.

E above lowest polymorph   2.41 eV per formula unit
N(E_F)   4.26 states/eV/cell
Energy of formation   0.9367 eV/atom

Unit cell a=10.198 b=10.198 c=10.198 alpha=17.59 beta=17.59 gamma=17.59
Positions (direct):
Ca  0.248  0.248  0.248
Ca  0.752  0.752  0.752
Fe  0.500  0.500  0.500
Mo  0.000  0.000  0.000

Computed, not measured: a geometry-optimized CaFe2Mo2 structure at the GGA-PBE level of DFT.

E above lowest polymorph   0.00 eV per formula unit
N(E_F)   8.93 states/eV/cell
Energy of formation   0.3980 eV/atom

Unit cell a=7.573 b=7.573 c=2.705 alpha=90.00 beta=90.00 gamma=90.00
Positions (direct):
Ca  0.000  0.000  0.000
Ca  0.500  0.500  0.000
Fe  0.143  0.357  0.500
Fe  0.357  0.857  0.500
Fe  0.643  0.143  0.500
Fe  0.857  0.643  0.500
Mo  0.144  0.644  0.000
Mo  0.356  0.144  0.000
Mo  0.644  0.856  0.000
Mo  0.856  0.356  0.000

Computed, not measured: a geometry-optimized CaFeMo structure at the GGA-PBE level of DFT.

E above lowest polymorph   1.59 eV per formula unit
N(E_F)   5.44 states/eV/cell
Energy of formation   0.9874 eV/atom

Unit cell a=4.318 b=4.318 c=4.318 alpha=60.00 beta=60.00 gamma=60.00
Positions (direct):
Ca  0.000  0.000  0.000
Fe  0.750  0.750  0.750
Mo  0.500  0.500  0.500